[1]
Material: K2Ba2CoO4
Method: DFT, PBE+U
State: optimized geometry

Cell and atoms, written as extended XYZ:
```
9
Lattice="5.976 0.083 0.120 -2.796 5.282 -0.120 -2.796 -1.968 4.904" Properties=species:S:1:pos:R:3 pbc="T T T"
K 0.192 3.511 1.196
K 0.192 -0.114 3.708
Ba -3.828 2.269 3.275
Ba -1.763 1.045 1.509
Co 0.000 0.000 0.000
O -2.796 3.653 1.009
O -1.045 2.615 3.775
O -2.796 -0.339 3.775
O 1.429 0.782 1.129
```

Properties
SG: I4/mmm (139)
VASP energy in eV per atom: -4.567

***

[2]
Material: KBa2CoO4
Method: DFT, PBE+U
State: optimized geometry

Cell and atoms, written as extended XYZ:
```
8
Lattice="5.987 0.078 0.112 -2.815 5.284 -0.112 -2.815 -1.954 4.911" Properties=species:S:1:pos:R:3 pbc="T T T"
K 0.000 0.000 0.000
Ba 0.179 3.514 1.200
Ba 0.179 -0.106 3.711
Co -2.815 1.665 2.400
O -2.309 -0.078 2.971
O 1.400 1.346 1.940
O -2.054 2.660 3.833
O -2.309 2.810 0.966
```

Properties
SG: I-42m (121)
VASP energy in eV per atom: -5.583

***

[3]
Material: K2BaCoO4
Method: DFT, PBE+U
State: optimized geometry

Cell and atoms, written as extended XYZ:
```
16
Lattice="6.556 0.000 0.000 3.278 6.468 0.000 3.278 0.000 12.766" Properties=species:S:1:pos:R:3 pbc="T T T"
K 3.278 0.000 7.377
K 6.556 0.000 5.389
K 8.195 3.234 11.772
K 8.195 3.234 0.994
Ba 8.195 3.234 6.383
Ba 0.000 0.000 0.000
Co 4.917 3.234 6.383
Co 3.278 0.000 0.000
O 5.362 5.232 0.574
O 5.362 1.235 12.191
O 11.027 5.232 12.191
O 4.472 1.235 0.574
O 6.111 4.469 5.809
O 6.111 1.999 6.957
O 10.279 4.469 6.957
O 3.723 1.999 5.809
```

Properties
SG: Fddd (70)
VASP energy in eV per atom: -4.840